[1]
{
  "formula": "YCr2Cd",
  "functional": "GGA-PBE",
  "state": "optimized geometry",
  "spacegroup": "R-3m",
  "delta_e_f_mev_per_atom": 697,
  "lattice": [[9.5337, -0.0154, -0.0091], [8.9788, 3.2053, -0.0091], [8.9788, 1.5471, 2.8072]],
  "species": ["Cr", "Cr", "Y", "Cd"],
  "fractional_positions": [[0.0033, 0.0033, 0.0033], [0.4967, 0.4967, 0.4967], [0.2500, 0.2500, 0.2500], [0.7500, 0.7500, 0.7500]]
}

[2]
{
  "formula": "Pr10Dy4Tm",
  "functional": "GGA-PBE",
  "state": "optimized geometry",
  "spacegroup": "I4/m",
  "delta_e_f_mev_per_atom": 676,
  "lattice": [[7.1712, 0.0000, 3.2381], [3.5856, 8.7843, 1.6191], [-0.0294, 0.0000, 9.6250]],
  "species": ["Pr", "Dy", "Pr", "Pr", "Pr", "Dy", "Dy", "Pr", "Dy", "Pr", "Pr", "Pr", "Pr", "Pr", "Tm"],
  "fractional_positions": [[0.8499, 0.7011, 0.1004], [0.7995, 0.6001, 0.8009], [0.3486, 0.7011, 0.1004], [0.1501, 0.2989, 0.8996], [0.5510, 0.1004, 0.2989], [0.2005, 0.3999, 0.1991], [0.6004, 0.1991, 0.6001], [0.7500, 0.5000, 0.5000], [0.3996, 0.8009, 0.3999], [0.6514, 0.2989, 0.8996], [0.0497, 0.1004, 0.2989], [0.2500, 0.5000, 0.5000], [0.9503, 0.8996, 0.7011], [0.4490, 0.8996, 0.7011], [0.0000, 0.0000, 0.0000]]
}

[3]
{
  "formula": "YHgTeN2",
  "functional": "GGA-PBE",
  "state": "optimized geometry",
  "spacegroup": "P4/mmm",
  "raw_formation_energy_ev_per_atom": 0.759,
  "lattice": [[4.3574, 0.0000, 0.0000], [0.0000, 4.3574, 0.0000], [0.0000, 0.0000, 6.5396]],
  "species": ["N", "Hg", "Y", "N", "Te"],
  "fractional_positions": [[0.0000, 0.5000, 0.0000], [0.5000, 0.5000, 0.5000], [0.0000, 0.0000, 0.0000], [0.5000, 0.0000, 0.0000], [0.0000, 0.0000, 0.5000]]
}

[4]
{
  "formula": "Zn2CoTc",
  "functional": "GGA-PBE",
  "state": "optimized geometry",
  "spacegroup": "Cm",
  "delta_e_f_mev_per_atom": 96,
  "lattice": [[-1.2928, 4.1118, -1.2883], [-0.7421, 2.7368, -3.4924], [-4.5831, -0.8530, -0.6130]],
  "species": ["Zn", "Tc", "Co", "Zn"],
  "fractional_positions": [[0.2442, 0.2442, 0.2375], [0.7566, 0.7566, 0.7219], [0.4996, 0.4996, 0.5259], [0.9995, 0.9995, 0.0148]]
}

[5]
{
  "formula": "Sm2ErTm4Mg",
  "functional": "GGA-PBE",
  "state": "optimized geometry",
  "spacegroup": "P2/m",
  "delta_e_f_mev_per_atom": 32,
  "lattice": [[-3.6198, -2.0933, -2.5914], [2.8098, -3.9951, -0.6978], [-0.8487, -8.0433, 7.6825]],
  "species": ["Tm", "Tm", "Mg", "Tm", "Sm", "Er", "Tm", "Sm"],
  "fractional_positions": [[0.0000, 0.7498, 0.7502], [0.0000, 0.2502, 0.2498], [0.5000, 0.5000, 0.0000], [0.5000, 0.7494, 0.2502], [0.0000, 0.0000, 0.0000], [0.0000, 0.5000, 0.5000], [0.5000, 0.2506, 0.7498], [0.5000, 0.0000, 0.5000]]
}

[6]
{
  "formula": "Ac2Tm2Sn7",
  "functional": "GGA-PBE",
  "state": "optimized geometry",
  "spacegroup": "Cmmm",
  "delta_e_f_mev_per_atom": -192,
  "lattice": [[-0.0970, 7.8341, -0.5462], [-5.4636, -0.2689, -2.8864], [-3.6447, -0.4570, 6.9417]],
  "species": ["Sn", "Sn", "Sn", "Sn", "Sn", "Ac", "Tm", "Tm", "Sn", "Ac", "Sn"],
  "fractional_positions": [[0.9998, 0.2552, 0.5003], [0.4997, 0.2552, 0.0002], [0.5002, 0.7466, 0.4998], [0.0000, 0.0000, 0.0000], [0.4998, 0.2534, 0.5002], [0.8064, 0.5000, 0.8064], [0.2587, 0.0000, 0.7413], [0.7413, 0.0000, 0.2587], [0.0002, 0.7448, 0.4997], [0.1936, 0.5000, 0.1936], [0.5003, 0.7448, 0.9998]]
}

[7]
{
  "formula": "Zr2MnCr",
  "functional": "GGA-PBE",
  "state": "optimized geometry",
  "spacegroup": "Immm",
  "delta_e_f_mev_per_atom": 280,
  "lattice": [[-2.5008, 2.3097, -4.2244], [-4.1023, -2.8133, -2.1659], [1.8180, 2.2961, 4.5669]],
  "species": ["Cr", "Mn", "Zr", "Zr"],
  "fractional_positions": [[0.7500, 0.2500, 0.5000], [0.2500, 0.7500, 0.5000], [0.5002, 0.5002, 0.0000], [0.9998, 0.9998, 0.0000]]
}

[8]
{
  "formula": "TiPtO2F",
  "functional": "GGA-PBE",
  "state": "optimized geometry",
  "spacegroup": "P4/mmm",
  "raw_formation_energy_ev_per_atom": -1.421,
  "lattice": [[-3.6111, -0.2399, 1.4909], [-0.2778, -3.6929, -1.2671], [1.4849, -1.2753, 3.3913]],
  "species": ["O", "O", "Ti", "Pt", "F"],
  "fractional_positions": [[0.0000, 0.5000, 0.0000], [0.5000, 0.0000, 0.0000], [0.0000, 0.0000, 0.0000], [0.5000, 0.5000, 0.5000], [0.0000, 0.0000, 0.5000]]
}